Material: Zr2V6Sb9
Method: DFT, meta-GGA SCAN
State: single point on PBEsol structure

extended XYZ file:
```
34
Lattice="7.143 0.000 0.000 0.000 9.619 0.000 0.000 0.000 9.619" Properties=species:S:1:pos:R:3 pbc="T T T"
Zr 0.599 4.809 0.000
Zr 6.544 0.000 4.809
Zr 4.177 4.809 0.000
Zr 2.966 0.000 4.809
V 1.122 1.330 0.000
V 6.021 3.479 4.809
V 6.021 0.000 1.330
V 1.122 4.809 6.139
V 6.021 0.000 8.289
V 1.122 8.289 0.000
V 0.000 2.405 7.214
V 0.000 2.405 2.405
V 0.000 7.214 7.214
V 6.021 6.139 4.809
V 1.122 4.809 3.479
V 0.000 7.214 2.405
Sb 4.673 7.955 6.473
Sb 5.821 2.429 0.000
Sb 1.322 2.381 4.809
Sb 2.471 6.473 1.664
Sb 4.673 1.664 3.145
Sb 4.673 7.955 3.145
Sb 1.322 7.238 4.809
Sb 2.471 3.145 7.955
Sb 1.322 0.000 2.429
Sb 2.471 6.473 7.955
Sb 3.572 0.000 0.000
Sb 5.821 4.809 7.238
Sb 1.322 0.000 7.190
Sb 4.673 1.664 6.473
Sb 5.821 7.190 0.000
Sb 2.471 3.145 1.664
Sb 5.821 4.809 2.381
Sb 3.572 4.809 4.809
```

The space group is P4/nmm (129). The value obtained for the formation energy from raw total energies is -0.3307 eV per atom.

***

Material: Ba2LaTa
Method: DFT, meta-GGA SCAN
State: single point on PBEsol structure

extended XYZ file:
```
4
Lattice="3.361 0.000 0.000 0.000 3.361 0.000 0.000 0.000 11.560" Properties=species:S:1:pos:R:3 pbc="T T T"
La 1.680 1.680 0.000
Ba 0.000 0.000 8.283
Ba 0.000 0.000 3.277
Ta 1.680 1.680 5.780
```

The space group is P4/mmm (123). The formation enthalpy at 0 K is 3.9 eV/f.u.

***

no.,size of the total moment (μB/atom)
1,0.000
2,0.000